A plane-wave DFT calculation with PBE with a Hubbard U was carried out for crystalline PuWO5 at its relaxed geometry.

Cell: 3.852 6.589 8.040 Å, 90.00 90.00 90.00°
Space group Immm (No. 71)
Symmetry-distinct sites (fractional):
Pu 0.000 0.000 0.000 x2
W 0.000 0.000 0.500 x2
O 0.000 0.000 0.260 x4
O 0.000 0.297 0.500 x4
O 0.000 0.500 0.000 x2

The total moment comes out at 0.571 μB per atom. Its total energy is -63.128 eV per formula unit.